Computed, not measured: crystalline RbNbBr2 at its relaxed geometry at the PBE-GGA level of DFT.

Computed properties:
- Formation energy (no corrections): -0.23 eV per atom
- E above lowest polymorph: 8 meV/atom
- DOS at the Fermi energy: 0.6766 states/eV per atom
- Magnetic moment: 0.00 μB/cell
- Crystal system: trigonal

Lattice parameters (Å, degrees): 3.6295 3.6295 31.6076 90.00 90.00 120.00
Last column: nearest neighbours and their distance in Å.
Space group R-3m (No. 166, hexagonal axes)
One atom of each set of equivalent atoms:
Rb (0.0000, 0.0000, 0.0000) (multiplicity 3)  2 Br 3.49, 6 Rb 3.63
Nb (0.0000, 0.0000, 0.5000) (multiplicity 3)  6 Br 2.75
Br (0.0000, 0.0000, 0.1105) (multiplicity 6)  3 Nb 2.75